A PBEsol-optimized structure of MgCuH2, computed with SCAN.

Unit cell a=4.179 b=4.179 c=8.894 alpha=90.00 beta=90.00 gamma=90.00
Space group I-42d (No. 122)
Asymmetric unit:
Mg (0.000, 0.000, 0.000) x4
Cu (0.000, 0.000, 0.500) x4
H (0.172, 0.250, 0.625) x8

Fermi-level density of states in states/eV/cell: 3.14
Calculated volume in A^3/atom: 9.71
Theoretical density in g/cm3: 3.84
Total energy in eV per cell: -106.549